11
Lattice="-3.351 4.382 -0.087 -3.663 0.756 4.227 3.403 6.148 3.651" Properties=species:S:1:pos:R:3 comment="Ca2Si4Pt5 PBE optimized geometry" n_ef_per_ev_atom=0.3641 dft_energy_ev_per_cell=-65.03 crystal_system=orthorhombic formation_energy_uncorrected_mev_per_atom=-830 pbc="T T T"
Pt -3.507 2.569 2.070
Pt -1.832 0.378 2.113
Pt -0.968 4.547 3.917
Pt -2.643 6.738 3.874
Ca -2.019 5.420 0.882
Si -3.400 4.421 3.750
Si -2.592 8.547 5.513
Pt -1.675 2.191 -0.043
Si -0.211 6.865 4.041
Ca 2.071 5.110 2.682
Si -1.019 2.739 2.278

***

12
Lattice="5.569 0.000 0.000 -2.784 4.823 0.000 0.000 0.000 8.154" Properties=species:S:1:pos:R:3 comment="Ca2SiPt3 PBE optimized geometry" n_ef_per_ev_atom=0.5578 dft_energy_ev_per_cell=-66.70 crystal_system=hexagonal formation_energy_uncorrected_mev_per_atom=-967 pbc="T T T"
Si 0.000 0.000 4.077
Ca 2.784 1.608 3.560
Pt 4.168 0.809 6.116
Pt 2.784 3.205 6.116
Si 0.000 0.000 0.000
Ca 0.000 3.215 4.595
Pt 1.383 4.014 2.039
Ca 2.784 1.608 0.518
Pt 1.401 0.809 6.116
Pt -1.383 4.014 2.039
Pt 0.000 1.618 2.039
Ca 0.000 3.215 7.637